1.
{"formula": "Tb2Sm6Tm", "functional": "PBE", "state": "optimized geometry", "final_energy_ev_per_cell": -83.79, "e_form_kj_per_mol_fu": 15, "magmom_total_mub_per_cell": 0.00, "n_ef_per_ev_cell": 21.70, "polymorph_energy_kcal_per_mol_atoms": 0.00, "lattice": [[5.082, 0.000, 0.227], [0.000, 10.789, 0.000], [-0.482, 0.000, 10.776]], "species": ["Tb", "Tb", "Tb", "Tb", "Sm", "Sm", "Sm", "Sm", "Sm", "Sm", "Sm", "Sm", "Sm", "Sm", "Sm", "Sm", "Tm", "Tm"], "frac_coords": [[0.000, 0.334, 0.834], [0.500, 0.834, 0.666], [0.500, 0.166, 0.334], [0.000, 0.666, 0.166], [0.000, 0.000, 0.168], [0.000, 0.668, 0.500], [0.000, 0.666, 0.835], [0.500, 0.166, 0.665], [0.500, 0.168, 0.000], [0.500, 0.500, 0.332], [0.000, 0.000, 0.832], [0.000, 0.332, 0.500], [0.000, 0.334, 0.165], [0.500, 0.834, 0.335], [0.500, 0.832, 0.000], [0.500, 0.500, 0.668], [0.500, 0.500, 0.000], [0.000, 0.000, 0.500]]}

---

2.
{"formula": "Tb2Sm7Tm2", "functional": "PBE", "state": "optimized geometry", "final_energy_ev_per_cell": -49.98, "e_form_kj_per_mol_fu": 121, "magmom_total_mub_per_cell": 0.00, "n_ef_per_ev_cell": 16.75, "polymorph_energy_kcal_per_mol_atoms": 0.00, "lattice": [[-1.544, 0.251, -5.388], [-7.442, -2.691, 2.007], [2.050, 8.760, 2.742]], "species": ["Tb", "Tb", "Sm", "Sm", "Sm", "Sm", "Sm", "Sm", "Sm", "Tm", "Tm"], "frac_coords": [[0.299, 0.920, 0.598], [0.701, 0.323, 0.402], [0.135, 0.052, 0.270], [0.133, 0.459, 0.266], [0.500, 0.920, 0.000], [0.337, 0.461, 0.675], [0.663, 0.786, 0.325], [0.865, 0.782, 0.730], [0.867, 0.193, 0.734], [0.000, 0.622, 0.000], [0.500, 0.336, 0.000]]}

---

3.
{"formula": "Tb3Sm5Tm3", "functional": "PBE", "state": "optimized geometry", "final_energy_ev_per_cell": -42.14, "e_form_kj_per_mol_fu": 845, "magmom_total_mub_per_cell": 0.00, "n_ef_per_ev_cell": 17.91, "polymorph_energy_kcal_per_mol_atoms": 10.73, "lattice": [[5.518, 0.000, 0.000], [0.000, 9.711, 0.000], [0.000, -4.855, 8.410]], "species": ["Tb", "Tb", "Tb", "Sm", "Sm", "Sm", "Sm", "Sm", "Tm", "Tm", "Tm"], "frac_coords": [[0.000, 0.454, 0.454], [0.000, 0.546, 0.000], [0.000, 0.000, 0.546], [0.500, 0.333, 0.667], [0.500, 0.667, 0.333], [0.500, 0.268, 0.268], [0.500, 0.000, 0.732], [0.500, 0.732, 0.000], [0.500, 0.631, 0.631], [0.500, 0.000, 0.369], [0.500, 0.369, 0.000]]}

---

4.
{"formula": "TbSm10Tm6", "functional": "PBE", "state": "optimized geometry", "final_energy_ev_per_cell": -76.43, "e_form_kj_per_mol_fu": 214, "magmom_total_mub_per_cell": 0.00, "n_ef_per_ev_cell": 24.57, "lattice": [[-0.670, -6.703, -1.133], [8.223, 0.055, -5.189], [0.306, -1.649, 9.578]], "species": ["Tb", "Sm", "Sm", "Sm", "Sm", "Sm", "Sm", "Sm", "Sm", "Sm", "Sm", "Tm", "Tm", "Tm", "Tm", "Tm", "Tm"], "frac_coords": [[0.500, 0.000, 0.000], [0.817, 0.724, 0.724], [0.817, 0.000, 0.276], [0.817, 0.276, 0.000], [0.183, 0.276, 0.276], [0.183, 0.000, 0.724], [0.183, 0.724, 0.000], [0.500, 0.333, 0.667], [0.500, 0.667, 0.333], [0.000, 0.667, 0.333], [0.000, 0.333, 0.667], [0.690, 0.371, 0.371], [0.690, 0.000, 0.629], [0.690, 0.629, 0.000], [0.310, 0.629, 0.629], [0.310, 0.000, 0.371], [0.310, 0.371, 0.000]]}

---

5.
{"formula": "Tb4Sm8Tm", "functional": "PBE", "state": "optimized geometry", "final_energy_ev_per_cell": -54.50, "e_form_kj_per_mol_fu": 602, "magmom_total_mub_per_cell": 0.00, "n_ef_per_ev_cell": 19.74, "lattice": [[-5.495, -0.830, 5.503], [-0.950, -7.477, -2.088], [5.489, -2.127, 5.149]], "species": ["Tb", "Tb", "Tb", "Tb", "Sm", "Sm", "Sm", "Sm", "Sm", "Sm", "Sm", "Sm", "Tm"], "frac_coords": [[0.500, 0.000, 0.500], [0.000, 0.500, 0.500], [0.500, 0.500, 0.000], [0.000, 0.000, 0.000], [0.240, 0.759, 0.240], [0.760, 0.760, 0.241], [0.760, 0.241, 0.760], [0.241, 0.760, 0.760], [0.760, 0.760, 0.760], [0.240, 0.240, 0.240], [0.759, 0.240, 0.240], [0.240, 0.240, 0.759], [0.500, 0.500, 0.500]]}

---

6.
{"formula": "Tb5Sm3Tm3", "functional": "PBE", "state": "optimized geometry", "final_energy_ev_per_cell": -42.08, "e_form_kj_per_mol_fu": 834, "magmom_total_mub_per_cell": 0.00, "n_ef_per_ev_cell": 15.45, "lattice": [[5.613, 0.000, 0.000], [0.000, 9.704, 0.000], [0.000, -4.852, 8.403]], "species": ["Tb", "Tb", "Tb", "Tb", "Tb", "Sm", "Sm", "Sm", "Tm", "Tm", "Tm"], "frac_coords": [[0.500, 0.333, 0.667], [0.500, 0.667, 0.333], [0.500, 0.289, 0.289], [0.500, 0.000, 0.711], [0.500, 0.711, 0.000], [0.000, 0.463, 0.463], [0.000, 0.537, 0.000], [0.000, 0.000, 0.537], [0.500, 0.639, 0.639], [0.500, 0.000, 0.361], [0.500, 0.361, 0.000]]}

---

7.
{"formula": "Tb5SmTm6", "functional": "PBE", "state": "optimized geometry", "final_energy_ev_per_cell": -54.46, "e_form_kj_per_mol_fu": 23, "magmom_total_mub_per_cell": 0.00, "n_ef_per_ev_cell": 15.59, "polymorph_energy_kcal_per_mol_atoms": 0.00, "lattice": [[11.543, -1.547, 0.000], [1.857, 5.831, 0.000], [0.928, 2.916, 5.294]], "species": ["Tb", "Tb", "Tb", "Tb", "Tb", "Sm", "Tm", "Tm", "Tm", "Tm", "Tm", "Tm"], "frac_coords": [[0.500, 0.167, 0.666], [0.000, 0.333, 0.333], [0.500, 0.500, 0.000], [0.000, 0.667, 0.667], [0.500, 0.833, 0.334], [0.000, 0.000, 0.000], [0.749, 0.084, 0.334], [0.251, 0.583, 0.334], [0.251, 0.250, 0.000], [0.749, 0.750, 0.000], [0.749, 0.417, 0.666], [0.251, 0.916, 0.666]]}

---

8.
{"formula": "TbSmTm", "functional": "PBE", "state": "optimized geometry", "final_energy_ev_per_cell": -27.67, "e_form_kj_per_mol_fu": -1, "magmom_total_mub_per_cell": 0.00, "n_ef_per_ev_cell": 7.64, "polymorph_energy_kcal_per_mol_atoms": 0.00, "lattice": [[0.113, -0.747, 3.506], [2.259, -6.430, 2.224], [8.466, 1.636, 1.907]], "species": ["Tb", "Tb", "Sm", "Sm", "Tm", "Tm"], "frac_coords": [[0.373, 0.394, 0.575], [0.817, 0.114, 0.247], [0.596, 0.003, 0.910], [0.594, 0.505, 0.913], [0.374, 0.892, 0.575], [0.816, 0.616, 0.247]]}